(1)
First-principles (PBE-GGA) data for a geometry-optimized TcSeS2N structure, as listed in Alexandria via LeMat-Bulk.

For the uncorrected formation energy, the calculation gives 0.49 eV/atom. The calculation puts the calculated total energy at -5.599 eV per atom. The volume is 84.96 Å³ per cell.

abc: 4.7758 4.7758 3.7249
angles: 90.00 90.00 90.00
Last column: nearest neighbours and their distance in Å.
Fractional coordinates of all 5 atoms:
1 Tc 0.0000 0.0000 0.0000  2 N 1.86
2 S 0.5000 0.0000 0.0000  2 Tc 2.39
3 Se 0.5000 0.5000 0.5000  8 S 3.03, 4 N 3.38
4 S 0.0000 0.5000 0.0000  2 Tc 2.39
5 N 0.0000 0.0000 0.5000  2 Tc 1.86

(2)
First-principles (PBE-GGA) data for a geometry-optimized Pa3Ag4PbO12 structure, as listed in Alexandria via LeMat-Bulk.

For the uncorrected formation energy, the calculation gives -1.86 eV/atom. The calculation puts the calculated total energy at -7.018 eV per atom. The volume is 326.15 Å³ per cell.

abc: 7.3450 7.3450 7.3450
angles: 107.42 107.42 107.42
Last column: nearest neighbours and their distance in Å.
Fractional coordinates of all 20 atoms:
1 O 0.3228 0.6772 0.5000  1 Ag 2.10, 2 Pa 2.12
2 O 0.2324 0.3065 0.9899  1 Ag 2.12, 1 Pa 2.26
3 O 0.6772 0.5000 0.3228  1 Ag 2.10, 2 Pa 2.12
4 Ag 0.9092 0.0908 0.5000  2 O 2.12
5 O 0.5000 0.1119 0.8881  2 Pa 2.17, 1 Ag 2.40
6 O 0.1119 0.8881 0.5000  2 Pa 2.17, 1 Ag 2.40
7 O 0.6935 0.7676 0.0101  1 Ag 2.12, 1 Pa 2.26
8 Ag 0.5000 0.5000 0.5000  3 O 2.10
9 Ag 0.0908 0.5000 0.9092  2 O 2.12
10 Ag 0.5000 0.9092 0.0908  2 O 2.12
11 Pb 0.0000 0.0000 0.0000  6 O 2.42
12 O 0.7676 0.0101 0.6935  1 Ag 2.12, 1 Pa 2.26
13 Pa 0.4424 0.0000 0.5576  6 O 2.12-2.26
14 O 0.9899 0.2324 0.3065  1 Ag 2.12, 1 Pa 2.26
15 O 0.8881 0.5000 0.1119  2 Pa 2.17, 1 Ag 2.40
16 O 0.5000 0.3228 0.6772  1 Ag 2.10, 2 Pa 2.12
17 O 0.3065 0.9899 0.2324  1 Ag 2.12, 1 Pa 2.26
18 Pa 0.0000 0.5576 0.4424  6 O 2.12-2.26
19 O 0.0101 0.6935 0.7676  1 Ag 2.12, 1 Pa 2.26
20 Pa 0.5576 0.4424 0.0000  6 O 2.12-2.26

(3)
First-principles (PBE-GGA) data for a geometry-optimized Sr2SbRu structure, as listed in Alexandria via LeMat-Bulk.

For the uncorrected formation energy, the calculation gives -0.01 eV/atom. The calculation puts the calculated total energy at -4.202 eV per atom. The volume is 108.59 Å³ per cell.

abc: 4.9254 4.9249 4.4766
angles: 90.00 90.00 90.00
Last column: nearest neighbours and their distance in Å.
Fractional coordinates of all 4 atoms:
1 Sr 0.5000 0.5000 0.0000  4 Ru 3.33, 4 Sb 3.33, 4 Sr 3.48
2 Ru 0.5000 0.0000 0.5000  8 Sr 3.33, 4 Sb 3.48
3 Sr 0.0000 0.0000 0.0000  4 Sb 3.33, 4 Ru 3.33, 4 Sr 3.48
4 Sb 0.0000 0.5000 0.5000  8 Sr 3.33, 4 Ru 3.48

(4)
First-principles (PBE-GGA) data for a geometry-optimized BeAgPdW2 structure, as listed in Alexandria via LeMat-Bulk.

The calculation puts the calculated total energy at -5.812 eV per atom. The formation energy is 8.62 eV/f.u. The volume is 93.75 Å³ per cell.

abc: 4.8188 4.0374 4.8188
angles: 90.00 90.00 90.00
Last column: nearest neighbours and their distance in Å.
Fractional coordinates of all 5 atoms:
1 Ag 0.5000 0.5000 0.5000  8 W 3.14, 4 Be 3.41
2 W 0.5000 0.0000 0.0000  2 Pd 2.41
3 Be 0.0000 0.5000 0.0000  2 Pd 2.02
4 Pd 0.0000 0.0000 0.0000  2 Be 2.02
5 W 0.0000 0.0000 0.5000  2 Pd 2.41

(5)
First-principles (PBE-GGA) data for a geometry-optimized Pm2Zr2Sb2H structure, as listed in Alexandria via LeMat-Bulk.

The calculation puts the calculated total energy at -6.304 eV per atom. The volume is 160.28 Å³ per cell.

abc: 4.3633 4.3633 8.9660
angles: 104.08 104.08 90.00
Last column: nearest neighbours and their distance in Å.
Fractional coordinates of all 7 atoms:
1 Sb 0.6288 0.6288 0.2576  4 Zr 3.08, 5 Pm 3.19-3.27
2 Zr 0.5000 0.0000 0.0000  2 H 2.18
3 H 0.0000 0.0000 0.0000  4 Zr 2.18
4 Pm 0.8229 0.8229 0.6459  1 H 2.98, 5 Sb 3.19-3.27
5 Sb 0.3712 0.3712 0.7424  4 Zr 3.08, 5 Pm 3.19-3.27
6 Pm 0.1771 0.1771 0.3541  1 H 2.98, 5 Sb 3.19-3.27
7 Zr 0.0000 0.5000 0.0000  2 H 2.18

(6)
First-principles (PBE-GGA) data for a geometry-optimized NbCo2SiH structure, as listed in Alexandria via LeMat-Bulk.

The calculation puts the calculated total energy at -6.823 eV per atom. The volume is 53.64 Å³ per cell.

abc: 3.7001 3.7001 3.9183
angles: 90.00 90.00 90.00
Last column: nearest neighbours and their distance in Å.
Fractional coordinates of all 5 atoms:
1 Si 0.5000 0.5000 0.5000  4 Nb 2.62, 8 Co 2.69
2 H 0.0000 0.0000 0.0000  4 Co 1.85, 2 Nb 1.96
3 Co 0.5000 0.0000 0.0000  2 H 1.85
4 Nb 0.0000 0.0000 0.5000  2 H 1.96
5 Co 0.0000 0.5000 0.0000  2 H 1.85

(7)
First-principles (PBE-GGA) data for a geometry-optimized Pu4Ru3Rh structure, as listed in Alexandria via LeMat-Bulk.

The calculation puts the calculated total energy at -11.774 eV per atom. The formation energy is -1.69 eV/f.u. The volume is 155.99 Å³ per cell.

abc: 4.7483 4.7482 7.6927
angles: 108.04 107.98 90.00
Last column: nearest neighbours and their distance in Å.
Fractional coordinates of all 8 atoms:
1 Pu 0.3744 0.3743 0.7488  6 Ru 2.93-2.94, 2 Rh 2.94
2 Pu 0.1256 0.1256 0.2512  6 Ru 2.93-2.94, 2 Rh 2.94
3 Ru 0.7507 0.2507 0.5014  8 Pu 2.93-2.94
4 Pu 0.8744 0.8744 0.7488  6 Ru 2.93-2.94, 2 Rh 2.94
5 Pu 0.6256 0.6257 0.2512  6 Ru 2.93-2.94, 2 Rh 2.94
6 Ru 0.0000 0.5000 0.0000  8 Pu 2.94
7 Ru 0.2493 0.7493 0.4986  8 Pu 2.93-2.94
8 Rh 0.5000 0.0000 0.0000  8 Pu 2.94

(8)
First-principles (PBE-GGA) data for a geometry-optimized Sm6Si2AsI3 structure, as listed in Alexandria via LeMat-Bulk.

For the uncorrected formation energy, the calculation gives -1.06 eV/atom. The calculation puts the calculated total energy at -5.099 eV per atom. The volume is 361.50 Å³ per cell.

abc: 7.4098 7.4098 7.9935
angles: 98.89 98.89 119.99
Last column: nearest neighbours and their distance in Å.
Fractional coordinates of all 12 atoms:
1 Sm 0.2732 0.2732 0.8056  2 Si 2.86, 1 As 2.91
2 I 0.5000 0.5000 0.5000  6 Sm 3.37-3.40
3 Si 0.3333 0.6667 0.0000  6 Sm 2.86
4 As 0.0000 0.0000 0.0000  6 Sm 2.91
5 Sm 0.9352 0.5973 0.8055  2 Si 2.86, 1 As 2.91
6 Sm 0.4027 0.0648 0.1945  2 Si 2.86, 1 As 2.91
7 Sm 0.7268 0.7268 0.1944  2 Si 2.86, 1 As 2.91
8 I 0.8337 0.1663 0.5000  6 Sm 3.37-3.40
9 Sm 0.5973 0.9352 0.8055  2 Si 2.86, 1 As 2.91
10 Sm 0.0648 0.4027 0.1945  2 Si 2.86, 1 As 2.91
11 Si 0.6667 0.3333 0.0000  6 Sm 2.86
12 I 0.1663 0.8337 0.5000  6 Sm 3.37-3.40

(9)
First-principles (PBE-GGA) data for a geometry-optimized EuZnCuPb structure, as listed in Alexandria via LeMat-Bulk.

The calculation puts the calculated total energy at -5.003 eV per atom. The formation energy is -0.66 eV/f.u. The volume is 88.50 Å³ per cell.

abc: 5.0022 5.0022 5.0022
angles: 60.00 60.00 60.00
Last column: nearest neighbours and their distance in Å.
Fractional coordinates of all 4 atoms:
1 Cu 0.2500 0.2500 0.2500  4 Pb 3.06, 4 Eu 3.06
2 Pb 0.5000 0.5000 0.5000  4 Zn 3.06, 4 Cu 3.06
3 Zn 0.7500 0.7500 0.7500  4 Pb 3.06, 4 Eu 3.06
4 Eu 0.0000 0.0000 0.0000  4 Cu 3.06, 4 Zn 3.06

(10)
First-principles (PBE-GGA) data for a geometry-optimized AlFeHg2 structure, as listed in Alexandria via LeMat-Bulk.

The calculation puts the calculated total energy at -2.812 eV per atom. The formation energy is 1.56 eV/f.u. The volume is 71.76 Å³ per cell.

abc: 5.1461 5.1461 5.1461
angles: 132.92 132.92 68.79
Last column: nearest neighbours and their distance in Å.
Fractional coordinates of all 4 atoms:
1 Hg 0.0000 0.0000 0.0000  4 Hg 2.91, 4 Fe 2.96, 4 Al 2.96
2 Fe 0.7500 0.2500 0.5000  4 Al 2.91, 8 Hg 2.96
3 Al 0.2500 0.7500 0.5000  4 Fe 2.91, 8 Hg 2.96
4 Hg 0.5000 0.5000 0.0000  4 Hg 2.91, 4 Fe 2.96, 4 Al 2.96

(11)
First-principles (PBE-GGA) data for a geometry-optimized Th5Sn2SbC structure, as listed in Alexandria via LeMat-Bulk.

For the uncorrected formation energy, the calculation gives -0.44 eV/atom. The calculation puts the calculated total energy at -6.938 eV per atom. The volume is 272.69 Å³ per cell.

abc: 4.8417 4.8417 11.6323
angles: 90.00 90.00 90.00
Last column: nearest neighbours and their distance in Å.
Fractional coordinates of all 9 atoms:
1 Th 0.0000 0.0000 0.2689  1 C 2.69
2 Sb 0.0000 0.0000 0.0000  6 Th 3.13-3.42
3 Th 0.5000 0.5000 0.0000  2 Sn 3.33, 4 Sb 3.42
4 Th 0.0000 0.5000 0.5000  2 C 2.42
5 Sn 0.5000 0.5000 0.2864  9 Th 3.33-3.47
6 Th 0.5000 0.0000 0.5000  2 C 2.42
7 Th 0.0000 0.0000 0.7311  1 C 2.69
8 C 0.0000 0.0000 0.5000  6 Th 2.42-2.69
9 Sn 0.5000 0.5000 0.7136  9 Th 3.33-3.47

(12)
First-principles (PBE-GGA) data for a geometry-optimized ReNiTe2 structure, as listed in Alexandria via LeMat-Bulk.

For the uncorrected formation energy, the calculation gives 1.16 eV/atom. The calculation puts the calculated total energy at -4.972 eV per atom. The volume is 76.00 Å³ per cell.

abc: 4.7546 4.7546 4.7546
angles: 60.00 60.00 60.00
Last column: nearest neighbours and their distance in Å.
Fractional coordinates of all 4 atoms:
1 Re 0.2500 0.2500 0.2500  4 Ni 2.91, 4 Te 2.91
2 Te 0.0000 0.0000 0.0000  4 Re 2.91, 4 Te 2.91
3 Te 0.7500 0.7500 0.7500  4 Te 2.91, 4 Ni 2.91
4 Ni 0.5000 0.5000 0.5000  4 Te 2.91, 4 Re 2.91

(13)
First-principles (PBE-GGA) data for a geometry-optimized LiTi2CdW structure, as listed in Alexandria via LeMat-Bulk.

The calculation puts the calculated total energy at -4.507 eV per atom. The formation energy is 9.03 eV/f.u. The volume is 130.40 Å³ per cell.

abc: 5.0601 5.0929 5.0601
angles: 90.00 90.00 90.00
Last column: nearest neighbours and their distance in Å.
Fractional coordinates of all 5 atoms:
1 Ti 0.5000 0.0000 0.0000  2 Cd 2.53
2 Ti 0.0000 0.0000 0.5000  2 Cd 2.53
3 Li 0.5000 0.5000 0.5000  4 W 3.58, 8 Ti 3.59
4 W 0.0000 0.5000 0.0000  2 Cd 2.55
5 Cd 0.0000 0.0000 0.0000  4 Ti 2.53, 2 W 2.55

(14)
First-principles (PBE-GGA) data for a geometry-optimized RbS2N structure, as listed in Alexandria via LeMat-Bulk.

For the uncorrected formation energy, the calculation gives 0.08 eV/atom. The calculation puts the calculated total energy at -4.303 eV per atom. The volume is 157.54 Å³ per cell.

abc: 6.8228 6.8228 6.8228
angles: 47.42 47.42 47.42
Last column: nearest neighbours and their distance in Å.
Fractional coordinates of all 4 atoms:
1 S 0.0871 0.0871 0.0871  1 N 1.58
2 N 0.0000 0.0000 0.0000  2 S 1.58
3 S 0.9129 0.9129 0.9129  1 N 1.58
4 Rb 0.5000 0.5000 0.5000  6 S 3.48

(15)
First-principles (PBE-GGA) data for a geometry-optimized AgHgRuF6 structure, as listed in Alexandria via LeMat-Bulk.

For the uncorrected formation energy, the calculation gives -1.40 eV/atom. The calculation puts the calculated total energy at -4.030 eV per atom. The volume is 287.29 Å³ per cell.

abc: 6.1128 6.1128 8.8777
angles: 90.00 90.00 120.00
Last column: nearest neighbours and their distance in Å.
Fractional coordinates of all 18 atoms:
1 Hg 0.3333 0.6667 0.2500  6 F 2.47
2 Ru 0.6667 0.3333 0.2500  6 F 1.99
3 F 0.0572 0.3895 0.6324  1 Ru 1.99
4 Ag 0.0000 0.0000 0.0000  6 F 2.52
5 Ru 0.3333 0.6667 0.7500  6 F 1.99
6 F 0.3323 0.3895 0.8676  1 Ru 1.99
7 F 0.0572 0.6677 0.8676  1 Ru 1.99
8 F 0.9428 0.3323 0.1324  1 Ru 1.99
9 F 0.3895 0.3323 0.3676  1 Ru 1.99
10 F 0.3323 0.9428 0.6324  1 Ru 1.99
11 Hg 0.6667 0.3333 0.7500  6 F 2.47
12 F 0.6105 0.9428 0.8676  1 Ru 1.99
13 F 0.9428 0.6105 0.3676  1 Ru 1.99
14 F 0.6105 0.6677 0.6324  1 Ru 1.99
15 F 0.3895 0.0572 0.1324  1 Ru 1.99
16 F 0.6677 0.0572 0.3676  1 Ru 1.99
17 F 0.6677 0.6105 0.1324  1 Ru 1.99
18 Ag 0.0000 0.0000 0.5000  6 F 2.52

(16)
First-principles (PBE-GGA) data for a geometry-optimized V2SeN2 structure, as listed in Alexandria via LeMat-Bulk.

For the uncorrected formation energy, the calculation gives 0.13 eV/atom. The calculation puts the calculated total energy at -7.540 eV per atom. The volume is 110.02 Å³ per cell.

abc: 6.4295 6.4295 2.6615
angles: 90.00 90.00 90.00
Last column: nearest neighbours and their distance in Å.
Fractional coordinates of all 10 atoms:
1 V 0.1360 0.6360 0.5000  4 N 2.12
2 V 0.6360 0.8640 0.5000  4 N 2.12
3 N 0.8807 0.6193 0.0000  4 V 2.12, 1 N 2.17
4 N 0.1193 0.3807 0.0000  4 V 2.12, 1 N 2.17
5 V 0.3640 0.1360 0.5000  4 N 2.12
6 V 0.8640 0.3640 0.5000  4 N 2.12
7 N 0.6193 0.1193 0.0000  4 V 2.12, 1 N 2.17
8 N 0.3807 0.8807 0.0000  4 V 2.12, 1 N 2.17
9 Se 0.5000 0.5000 0.0000  4 N 2.57, 2 Se 2.66, 8 V 2.83
10 Se 0.0000 0.0000 0.0000  4 N 2.57, 2 Se 2.66, 8 V 2.83

(17)
First-principles (PBE-GGA) data for a geometry-optimized BaSr3Ir structure, as listed in Alexandria via LeMat-Bulk.

The calculation puts the calculated total energy at -2.990 eV per atom. The formation energy is 0.88 eV/f.u. The volume is 367.18 Å³ per cell.

abc: 5.8820 5.8820 12.2547
angles: 90.00 90.00 120.00
Last column: nearest neighbours and their distance in Å.
Fractional coordinates of all 10 atoms:
1 Ba 0.6667 0.3333 0.2500  3 Sr 3.40
2 Sr 0.3333 0.6667 0.4365  3 Ir 3.48, 3 Sr 3.74, 1 Ba 3.84
3 Ir 0.0000 0.0000 0.5000  2 Sr 3.06
4 Ba 0.3333 0.6667 0.7500  3 Sr 3.40
5 Sr 0.3333 0.6667 0.0635  3 Ir 3.48, 3 Sr 3.74, 1 Ba 3.84
6 Sr 0.6667 0.3333 0.9365  3 Ir 3.48, 3 Sr 3.74, 1 Ba 3.84
7 Sr 0.6667 0.3333 0.5635  3 Ir 3.48, 3 Sr 3.74, 1 Ba 3.84
8 Sr 0.0000 0.0000 0.2500  2 Ir 3.06, 3 Ba 3.40
9 Sr 0.0000 0.0000 0.7500  2 Ir 3.06, 3 Ba 3.40
10 Ir 0.0000 0.0000 0.0000  2 Sr 3.06